Here is a relaxed structure of LiVF4 from Alexandria via LeMat-Bulk. Energies are from GGA+U.

VASP energy in eV per atom: -5.68
M_tot in μB/f.u.: 2.0
Calculated volume in Å³/f.u.: 70.6
Space-group type: Pbcn (60)
Distance to the lowest polymorph of the same formula in meV per atom: 48

Cell: 4.580 5.196 11.861 Å, 90.00 90.00 90.00°
Last column: magnetic moment on the atom in μB.
Positions (direct):
F1 0.233 0.590 0.816  0.00
F2 0.270 0.586 0.554  0.00
V1 0.000 0.750 0.928  1.91
F3 0.767 0.910 0.816  0.00
F4 0.230 0.586 0.054  0.00
F5 0.770 0.414 0.946  0.00
V2 0.000 0.250 0.072  1.91
F6 0.230 0.086 0.946  0.00
Li1 0.000 0.750 0.678  0.00
F7 0.733 0.910 0.316  0.00
Li2 0.500 0.750 0.178  0.00
V3 0.500 0.750 0.428  1.91
F8 0.270 0.086 0.446  0.00
F9 0.767 0.410 0.184  0.00
F10 0.730 0.414 0.446  0.00
F11 0.730 0.914 0.554  0.00
Li3 0.000 0.250 0.322  0.00
F12 0.770 0.914 0.054  0.00
V4 0.500 0.250 0.572  1.91
Li4 0.500 0.250 0.822  0.00
F13 0.733 0.410 0.684  0.00
F14 0.233 0.090 0.184  0.00
F15 0.267 0.090 0.684  0.00
F16 0.267 0.590 0.316  0.00